VASP calculation (PBE) on crystalline ReHgP2 at its relaxed geometry. Values from VASP.

Calculated values
Spin magnetization   0.00 μB/atom
DFT total energy   -5.879 eV per atom
Symmetry   R-3m (166)
E_form   0.0133 eV per atom
Calculated volume   79.5 Å³/cell

Geometry as Quantum ESPRESSO input:
```
&SYSTEM
  ibrav = 0, nat = 4, ntyp = 3
/
ATOMIC_SPECIES
Hg 200.59 Hg.upf
P 30.97 P.upf
Re 186.21 Re.upf
ATOMIC_POSITIONS crystal
Hg 0.7500 0.7500 0.7500
P 0.9741 0.9741 0.9741
P 0.5259 0.5259 0.5259
Re 0.2500 0.2500 0.2500
CELL_PARAMETERS angstrom
-0.1327 -5.1595 8.4078
2.2600 -6.5286 7.0427
2.6792 -3.9342 8.6414
```